No. 1
A plane-wave DFT calculation with PBE was carried out for a relaxed SrLa2AgO crystal.

abc: 4.997 4.997 5.310
angles: 90.00 90.00 90.00
Atoms (fractional coordinates):
Sr1 0.000 0.000 0.500
O1 0.000 0.000 0.000
Ag1 0.500 0.500 0.500
La1 0.000 0.500 0.000
La2 0.500 0.000 0.000

## Properties
energy relative to the elements, uncorrected	-1.119	eV per atom

---

No. 2
A plane-wave DFT calculation with PBE was carried out for a relaxed Ho4CdRe crystal.

abc: 6.206 7.734 7.734
angles: 112.17 99.36 99.36
Atoms (fractional coordinates):
Ho1 0.893 0.643 0.801
Ho2 0.046 0.935 0.277
Ho3 0.607 0.199 0.357
Ho4 0.454 0.723 0.065
Ho5 0.546 0.277 0.935
Ho6 0.393 0.801 0.643
Ho7 0.954 0.065 0.723
Ho8 0.107 0.357 0.199
Cd1 0.750 0.625 0.375
Cd2 0.250 0.375 0.625
Re1 0.250 0.999 0.001
Re2 0.750 0.001 0.999

## Properties
calculated formation energy	-0.143	eV/atom

---

No. 3
A plane-wave DFT calculation with PBE was carried out for a relaxed BaTcIr crystal.

abc: 6.435 6.435 6.435
angles: 153.31 144.63 44.86
Atoms (fractional coordinates):
Ba1 0.998 0.998 0.000
Ir1 0.286 0.286 0.000
Tc1 0.716 0.716 0.000

## Properties
calculated formation energy	0.397	eV/atom
energy relative to the lowest polymorph listed for this composition	0.313	eV/atom

---

Q: Number 1 is which compound?
A: SrLa2AgO

---

Q: Number 1 is which compound?
A: SrLa2AgO